DFT (GGA+U) results for crystalline ScVO4 at its relaxed geometry.

a = 5.574 Å, b = 4.739 Å, c = 5.526 Å
α = 90.00°, β = 113.25°, γ = 90.00°
Space group P2_1/c (No. 14)
Unique sites:
Sc  0.000  0.000  0.000 (multiplicity 2)
V  0.500  0.000  0.500 (multiplicity 2)
O  0.178  0.172  0.378 (multiplicity 4)
O  0.370  0.709  0.682 (multiplicity 4)

Properties
volume = 11.18 A^3/atom
total energy = -8.10 eV per atom